A plane-wave DFT calculation with PBE was carried out for a relaxed CoMoPCl2 crystal.

CIF file:
```
data_CoMoPCl2
_chemical_formula_sum 'Co1 Mo1 P1 Cl2'
_cell_length_a 4.809
_cell_length_b 4.809
_cell_length_c 4.779
_cell_angle_alpha 90.00
_cell_angle_beta 90.00
_cell_angle_gamma 90.00
_space_group_name_H-M_alt 'P 4/m m m'
_space_group_IT_number 123
_space_group_name_Hall '-P 4 2'
loop_
_atom_site_label
_atom_site_fract_x
_atom_site_fract_y
_atom_site_fract_z
Co1 0.000 0.000 0.000
Mo1 0.500 0.500 0.500
P1 0.500 0.500 0.000
Cl1 0.000 0.500 0.500
```

Raw formation energy (eV/atom): 0.6973